This record from Alexandria describes crystalline Na2PuTlS4 at its relaxed geometry. The functional is PBE-GGA.

Geometry as POSCAR:
```
Na2PuTlS4
1.0
4.0240 0.0000 0.0000
0.0000 7.0997 0.1037
0.0000 -2.5035 6.6015
S Tl Na Pu
4 1 2 1
direct
0.0000 0.7271 0.2300
0.5000 0.2593 0.2287
0.5000 0.7407 0.7713
0.0000 0.2729 0.7700
0.0000 0.0000 0.0000
0.5000 0.0000 0.5000
0.0000 0.5000 0.5000
0.5000 0.5000 0.0000
```

Summary:
V ... 189.6 Å³/cell
Formation energy (no corrections) ... -1.03 eV per atom
Space group ... P2/m (10)
Raw total energy ... -5.51 eV/atom